First-principles (PBE) data for a relaxed structure of Zn2AgGe2, as listed in the Alexandria database.

Cell lengths 4.103, 4.103, 11.169 Å; angles 90.00, 90.00, 90.00 degrees
Space group I4/mmm (No. 139)
Symmetry-distinct sites (fractional):
Zn: 0.000 0.500 0.250
Ag: 0.000 0.000 0.000
Ge: 0.000 0.000 0.390

Computed properties:
excess energy over the best structure of this formula in the dataset	0.09	eV per formula unit
formation energy from the elements	0.2255	eV per atom

First-principles (PBE) data for a relaxed structure of ZrAgGe3, as listed in the Alexandria database.

Cell lengths 5.196, 5.196, 5.196 Å; angles 90.00, 90.00, 90.00 degrees
Space group Pm-3m (No. 221)
Symmetry-distinct sites (fractional):
Zr: 0.000 0.000 0.000
Ag: 0.500 0.500 0.500
Ge: 0.000 0.000 0.500

Computed properties:
excess energy over the best structure of this formula in the dataset	0.00	eV per formula unit
formation energy from the elements	0.5939	eV per atom

First-principles (PBE) data for a relaxed structure of Zr2Ag2Ge, as listed in the Alexandria database.

Cell lengths 6.833, 6.833, 4.303 Å; angles 90.00, 90.00, 90.00 degrees
Space group P4/mbm (No. 127)
Symmetry-distinct sites (fractional):
Zr: 0.166 0.334 0.000
Ag: 0.138 0.638 0.500
Ge: 0.000 0.000 0.500

Computed properties:
excess energy over the best structure of this formula in the dataset	0.00	eV per formula unit
formation energy from the elements	-0.0204	eV per atom

First-principles (PBE) data for a relaxed structure of Zr2Ag2Ge, as listed in the Alexandria database.

Cell lengths 7.212, 7.212, 4.164 Å; angles 90.00, 90.00, 90.00 degrees
Space group P4/mbm (No. 127)
Symmetry-distinct sites (fractional):
Zr: 0.159 0.341 0.000
Ag: 0.139 0.639 0.500
Ge: 0.000 0.000 0.000

Computed properties:
excess energy over the best structure of this formula in the dataset	0.44	eV per formula unit
formation energy from the elements	0.0670	eV per atom

- Which value of formation energy from the elements does entry 3 give?
  -0.0204 eV per atom

- What is the formula in the second record?
  ZrAgGe3

- Among the records above, which one has the highest excess energy over the best structure of this formula in the dataset?
  number 4

- excess energy over the best structure of this formula in the dataset of number 4 (Zr2Ag2Ge)?
  0.44 eV per formula unit